Computed, not measured: an optimized crystal structure of PrPd6 at the PBE level of DFT.

a b c (Å): 5.3761 8.8183 10.6795
angles (deg): 90.00 90.00 90.00
Atoms (fractional coordinates):
Pr  0.7500  0.2456  0.9406
Pr  0.2500  0.7544  0.0594
Pr  0.7500  0.7456  0.5594
Pr  0.2500  0.2544  0.4406
Pd  0.7500  0.6074  0.0199
Pd  0.2500  0.3926  0.9801
Pd  0.7500  0.1074  0.4801
Pd  0.2500  0.8926  0.5199
Pd  0.0056  0.4388  0.1991
Pd  0.5056  0.5612  0.8009
Pd  0.4944  0.9388  0.3009
Pd  0.9944  0.0612  0.6991
Pd  0.9944  0.5612  0.8009
Pd  0.4944  0.4388  0.1991
Pd  0.5056  0.0612  0.6991
Pd  0.0056  0.9388  0.3009
Pd  0.2500  0.1618  0.1612
Pd  0.7500  0.8382  0.8388
Pd  0.2500  0.6618  0.3388
Pd  0.7500  0.3382  0.6612
Pd  0.2500  0.8149  0.7697
Pd  0.7500  0.1851  0.2303
Pd  0.2500  0.3149  0.7303
Pd  0.7500  0.6851  0.2697
Pd  0.2500  0.5599  0.5752
Pd  0.7500  0.4401  0.4248
Pd  0.2500  0.0599  0.9248
Pd  0.7500  0.9401  0.0752

Properties
Total DFT energy (no corrections) (eV per atom): -5.55
Formation energy (meV per atom): -411
Magnetization (μB per cell): 0.0
Energy above the lowest structure with this stoichiometry (meV/atom): 0
Calculated density (Mg/m³): 10.23
Crystal system: orthorhombic

=====

Computed, not measured: an optimized crystal structure of Pr2Pd at the PBE level of DFT.

a b c (Å): 3.6896 3.6896 6.8824
angles (deg): 105.55 105.55 90.00
Site moments in Bohr magnetons follow the coordinates.
Atoms (fractional coordinates):
Pr  0.1372  0.1372  0.2745  0.08
Pr  0.8628  0.8628  0.7255  0.08
Pd  0.5000  0.5000  0.0000  0.02

Properties
Total DFT energy (no corrections) (eV per atom): -5.34
Formation energy (meV per atom): -425
Magnetization (μB per cell): 0.4
Calculated density (Mg/m³): 7.44
Crystal system: tetragonal

=====

Computed, not measured: an optimized crystal structure of Pr5Pd3 at the PBE level of DFT.

a b c (Å): 8.0330 8.0330 8.9020
angles (deg): 116.82 116.82 90.00
Atoms (fractional coordinates):
Pr  0.0000  0.0000  0.0000
Pr  0.5000  0.5000  0.0000
Pr  0.5211  0.0211  0.7130
Pr  0.1919  0.6919  0.7130
Pr  0.6919  0.5211  0.7130
Pr  0.0211  0.1919  0.7130
Pr  0.4789  0.9789  0.2870
Pr  0.8081  0.3081  0.2870
Pr  0.3081  0.4789  0.2870
Pr  0.9789  0.8081  0.2870
Pd  0.7500  0.7500  0.5000
Pd  0.2500  0.2500  0.5000
Pd  0.1282  0.6282  0.0000
Pd  0.8718  0.3718  0.0000
Pd  0.3718  0.1282  0.0000
Pd  0.6282  0.8718  0.0000

Properties
Total DFT energy (no corrections) (eV per atom): -5.46
Formation energy (meV per atom): -528
Magnetization (μB per cell): 0.0
Calculated density (Mg/m³): 7.69
Crystal system: tetragonal

=====

Computed, not measured: an optimized crystal structure of Pr5Pd4 at the PBE level of DFT.

a b c (Å): 4.0072 6.0306 11.0169
angles (deg): 75.79 79.52 70.60
Atoms (fractional coordinates):
Pr  0.1038  0.1863  0.6060
Pr  0.8962  0.8137  0.3940
Pr  0.7688  0.6427  0.8197
Pr  0.2312  0.3573  0.1803
Pr  0.0000  0.0000  0.0000
Pd  0.4745  0.2331  0.8179
Pd  0.5255  0.7669  0.1821
Pd  0.3802  0.6348  0.6048
Pd  0.6198  0.3652  0.3952

Properties
Total DFT energy (no corrections) (eV per atom): -5.62
Formation energy (meV per atom): -660
Magnetization (μB per cell): 0.0
Calculated density (Mg/m³): 7.76
Crystal system: monoclinic

=====

Computed, not measured: an optimized crystal structure of PrPd6 at the PBE level of DFT.

a b c (Å): 6.0120 6.0120 6.0120
angles (deg): 90.00 90.00 90.00
Atoms (fractional coordinates):
Pr  0.0000  0.0000  0.0000
Pd  0.1958  0.5000  0.5000
Pd  0.5000  0.5000  0.8042
Pd  0.5000  0.5000  0.1958
Pd  0.5000  0.1958  0.5000
Pd  0.5000  0.8042  0.5000
Pd  0.8042  0.5000  0.5000

Properties
Total DFT energy (no corrections) (eV per atom): -4.18
Formation energy (meV per atom): 956
Magnetization (μB per cell): 0.0
Energy above the lowest structure with this stoichiometry (meV/atom): 1368
Calculated density (Mg/m³): 5.96
Crystal system: cubic

=====

Computed, not measured: an optimized crystal structure of Pr3Pd at the PBE level of DFT.

a b c (Å): 3.7938 3.6967 9.4313
angles (deg): 90.00 90.00 90.00
Atoms (fractional coordinates):
Pr  0.0000  0.5000  0.4661
Pr  0.5000  0.5000  0.1324
Pr  0.5000  0.0000  0.7460
Pd  0.0000  0.0000  0.9888

Properties
Total DFT energy (no corrections) (eV per atom): -5.04
Formation energy (meV per atom): -161
Magnetization (μB per cell): 0.0
Calculated density (Mg/m³): 6.64
Crystal system: orthorhombic

=====

Computed, not measured: an optimized crystal structure of Pr3Pd at the PBE level of DFT.

a b c (Å): 6.3884 6.3884 6.3884
angles (deg): 137.91 137.91 61.05
Atoms (fractional coordinates):
Pr  0.7500  0.2500  0.5000
Pr  0.2500  0.7500  0.5000
Pr  0.5000  0.5000  0.0000
Pd  0.0000  0.0000  0.0000

Properties
Total DFT energy (no corrections) (eV per atom): -5.00
Formation energy (meV per atom): -116
Magnetization (μB per cell): 0.0
Calculated density (Mg/m³): 7.58
Crystal system: tetragonal

=====

Computed, not measured: an optimized crystal structure of Pr6Pd23 at the PBE level of DFT.

a b c (Å): 9.2276 9.2276 9.2276
angles (deg): 60.00 60.00 60.00
Atoms (fractional coordinates):
Pr  0.2231  0.7769  0.7769
Pr  0.7769  0.2231  0.2231
Pr  0.2231  0.2231  0.7769
Pr  0.7769  0.7769  0.2231
Pr  0.2231  0.7769  0.2231
Pr  0.7769  0.2231  0.7769
Pd  0.5000  0.5000  0.5000
Pd  0.5000  0.0000  0.0000
Pd  0.0000  0.5000  0.5000
Pd  0.5000  0.5000  0.0000
Pd  0.0000  0.0000  0.5000
Pd  0.5000  0.0000  0.5000
Pd  0.0000  0.5000  0.0000
Pd  0.1388  0.6204  0.6204
Pd  0.6204  0.6204  0.1388
Pd  0.6204  0.1388  0.6204
Pd  0.6204  0.6204  0.6204
Pd  0.3796  0.3796  0.8612
Pd  0.8612  0.3796  0.3796
Pd  0.3796  0.8612  0.3796
Pd  0.3796  0.3796  0.3796
Pd  0.5109  0.8297  0.8297
Pd  0.8297  0.8297  0.5109
Pd  0.8297  0.5109  0.8297
Pd  0.8297  0.8297  0.8297
Pd  0.1703  0.1703  0.4891
Pd  0.4891  0.1703  0.1703
Pd  0.1703  0.4891  0.1703
Pd  0.1703  0.1703  0.1703

Properties
Total DFT energy (no corrections) (eV per atom): -5.68
Formation energy (meV per atom): -571
Magnetization (μB per cell): 0.3
Calculated density (Mg/m³): 9.84
Crystal system: cubic

=====

Copy entry 6 word for word.
Computed, not measured: an optimized crystal structure of Pr3Pd at the PBE level of DFT.

a b c (Å): 3.7938 3.6967 9.4313
angles (deg): 90.00 90.00 90.00
Atoms (fractional coordinates):
Pr  0.0000  0.5000  0.4661
Pr  0.5000  0.5000  0.1324
Pr  0.5000  0.0000  0.7460
Pd  0.0000  0.0000  0.9888

Properties
Total DFT energy (no corrections) (eV per atom): -5.04
Formation energy (meV per atom): -161
Magnetization (μB per cell): 0.0
Calculated density (Mg/m³): 6.64
Crystal system: orthorhombic

=====

- Look up the magnetization of the fifth one.
  0.0 μB per cell

=====

- calculated density of number 7 (Pr3Pd)?
  7.58 Mg/m³

=====

- Which formula does entry 7 have?
  Pr3Pd